# 1
Entry from Alexandria via LeMat-Bulk: a relaxed structure of Pa2Ga2Ni3 (GGA-PBE).

Unit cell a=6.899 b=6.899 c=6.899 alpha=109.47 beta=109.47 gamma=109.47
Element x y z (fractional)
Pa (0.000, 0.508, 0.500)
Pa (0.500, 0.000, 0.508)
Pa (0.508, 0.500, 0.000)
Pa (0.992, 0.992, 0.992)
Ga (0.000, 0.920, 0.500)
Ga (0.500, 0.000, 0.920)
Ga (0.580, 0.580, 0.580)
Ga (0.920, 0.500, 0.000)
Ni (0.031, 0.281, 0.750)
Ni (0.219, 0.250, 0.469)
Ni (0.250, 0.469, 0.219)
Ni (0.281, 0.750, 0.031)
Ni (0.469, 0.219, 0.250)
Ni (0.750, 0.031, 0.281)

Results
formation energy: -0.25 eV per atom
SG: I2_13, No. 199

---

# 2
Entry from Alexandria via LeMat-Bulk: a relaxed structure of Mg3BeB (GGA-PBE).

Unit cell a=4.501 b=4.501 c=4.501 alpha=90.00 beta=90.00 gamma=90.00
Element x y z (fractional)
Mg (0.000, 0.000, 0.500)
Mg (0.000, 0.500, 0.000)
Mg (0.500, 0.000, 0.000)
Be (0.500, 0.500, 0.500)
B (0.000, 0.000, 0.000)

Results
formation energy: 0.53 eV per atom
SG: Pm-3m, No. 221

---

# 3
Entry from Alexandria via LeMat-Bulk: a relaxed structure of Cs12Cd5Sb3 (GGA-PBE).

Unit cell a=19.430 b=19.430 c=19.430 alpha=109.47 beta=109.47 gamma=109.47
Element x y z (fractional)
Cs (0.066, 0.235, 0.140)
Cs (0.066, 0.331, 0.926)
Cs (0.074, 0.640, 0.404)
Cs (0.074, 0.934, 0.669)
Cs (0.096, 0.735, 0.669)
Cs (0.096, 0.860, 0.426)
Cs (0.140, 0.066, 0.235)
Cs (0.140, 0.574, 0.904)
Cs (0.169, 0.235, 0.596)
Cs (0.169, 0.434, 0.574)
Cs (0.235, 0.140, 0.066)
Cs (0.235, 0.596, 0.169)
Cs (0.265, 0.331, 0.904)
Cs (0.265, 0.434, 0.360)
Cs (0.331, 0.904, 0.265)
Cs (0.331, 0.926, 0.066)
Cs (0.360, 0.265, 0.434)
Cs (0.360, 0.596, 0.926)
Cs (0.404, 0.074, 0.640)
Cs (0.404, 0.831, 0.765)
Cs (0.426, 0.096, 0.860)
Cs (0.426, 0.831, 0.566)
Cs (0.434, 0.360, 0.265)
Cs (0.434, 0.574, 0.169)
Cs (0.566, 0.426, 0.831)
Cs (0.566, 0.640, 0.735)
Cs (0.574, 0.169, 0.434)
Cs (0.574, 0.904, 0.140)
Cs (0.596, 0.169, 0.235)
Cs (0.596, 0.926, 0.360)
Cs (0.640, 0.404, 0.074)
Cs (0.640, 0.735, 0.566)
Cs (0.669, 0.074, 0.934)
Cs (0.669, 0.096, 0.735)
Cs (0.735, 0.566, 0.640)
Cs (0.735, 0.669, 0.096)
Cs (0.765, 0.404, 0.831)
Cs (0.765, 0.860, 0.934)
Cs (0.831, 0.566, 0.426)
Cs (0.831, 0.765, 0.404)
Cs (0.860, 0.426, 0.096)
Cs (0.860, 0.934, 0.765)
Cs (0.904, 0.140, 0.574)
Cs (0.904, 0.265, 0.331)
Cs (0.926, 0.066, 0.331)
Cs (0.926, 0.360, 0.596)
Cs (0.934, 0.669, 0.074)
Cs (0.934, 0.765, 0.860)
Cd (0.000, 0.000, 0.000)
Cd (0.000, 0.000, 0.500)
Cd (0.000, 0.500, 0.000)
Cd (0.000, 0.500, 0.500)
Cd (0.125, 0.750, 0.875)
Cd (0.125, 0.875, 0.250)
Cd (0.250, 0.125, 0.875)
Cd (0.250, 0.625, 0.375)
Cd (0.375, 0.250, 0.625)
Cd (0.375, 0.625, 0.750)
Cd (0.500, 0.000, 0.000)
Cd (0.500, 0.000, 0.500)
Cd (0.500, 0.500, 0.000)
Cd (0.500, 0.500, 0.500)
Cd (0.625, 0.375, 0.250)
Cd (0.625, 0.750, 0.375)
Cd (0.750, 0.375, 0.625)
Cd (0.750, 0.875, 0.125)
Cd (0.875, 0.125, 0.750)
Cd (0.875, 0.250, 0.125)
Sb (0.125, 0.250, 0.375)
Sb (0.125, 0.375, 0.750)
Sb (0.250, 0.375, 0.125)
Sb (0.250, 0.875, 0.625)
Sb (0.375, 0.125, 0.250)
Sb (0.375, 0.750, 0.125)
Sb (0.625, 0.250, 0.875)
Sb (0.625, 0.875, 0.750)
Sb (0.750, 0.125, 0.375)
Sb (0.750, 0.625, 0.875)
Sb (0.875, 0.625, 0.250)
Sb (0.875, 0.750, 0.625)

Results
SG: Ia-3d, No. 230
formation energy (no corrections): -0.0291 eV per atom

---

# 4
Entry from Alexandria via LeMat-Bulk: a relaxed structure of SrCeInSn (GGA-PBE).

Unit cell a=5.592 b=5.592 c=5.592 alpha=60.00 beta=60.00 gamma=60.00
Element x y z (fractional)
Sr (0.000, 0.000, 0.000)
Ce (0.500, 0.500, 0.500)
In (0.250, 0.250, 0.250)
Sn (0.750, 0.750, 0.750)

Results
formation energy: -0.42 eV per atom
SG: F-43m, No. 216

---

# 5
Entry from Alexandria via LeMat-Bulk: a relaxed structure of NaLiCu2Se (GGA-PBE).

Unit cell a=4.772 b=4.772 c=5.159 alpha=90.00 beta=90.00 gamma=90.00
Element x y z (fractional)
Na (0.000, 0.000, 0.000)
Li (0.500, 0.500, 0.500)
Cu (0.000, 0.500, 0.000)
Cu (0.500, 0.000, 0.000)
Se (0.000, 0.000, 0.500)

Results
SG: P4/mmm, No. 123
formation energy (no corrections): 0.6319 eV per atom

---

# 6
Entry from Alexandria via LeMat-Bulk: a relaxed structure of AcSn2GeO8 (GGA-PBE).

Unit cell a=4.849 b=4.849 c=6.902 alpha=90.00 beta=90.00 gamma=93.32
Element x y z (fractional)
Ac (0.000, 0.000, 0.000)
Sn (0.500, 0.500, 0.275)
Sn (0.500, 0.500, 0.725)
Ge (0.000, 0.000, 0.500)
O (0.194, 0.194, 0.298)
O (0.194, 0.194, 0.702)
O (0.291, 0.709, 0.500)
O (0.338, 0.662, 0.000)
O (0.662, 0.338, 0.000)
O (0.709, 0.291, 0.500)
O (0.806, 0.806, 0.298)
O (0.806, 0.806, 0.702)

Results
SG: Cmmm, No. 65
formation energy (no corrections): -1.7263 eV per atom

---

Question: Which formula does entry 2 have?
Answer: Mg3BeB